Entry 1:
LaHf3H (PBEsol, optimized geometry); energy = -0.426 Ry/atom; N(E_F) = 9.15 states/eV/f.u.; SG = No. 221
1.0
5.159 0.000 0.000
0.000 5.159 0.000
0.000 0.000 5.159
H Hf La
1 3 1
direct
0.500 0.500 0.500 H
0.000 0.500 0.000 Hf
0.000 0.000 0.500 Hf
0.500 0.000 0.000 Hf
0.000 0.000 0.000 La

Entry 2:
LiHf3H (PBEsol, optimized geometry); energy = -0.425 Ry/atom; N(E_F) = 7.22 states/eV/f.u.; SG = No. 221
1.0
4.599 0.000 0.000
0.000 4.599 0.000
0.000 0.000 4.599
H Hf Li
1 3 1
direct
0.500 0.500 0.500 H
0.000 0.500 0.000 Hf
0.000 0.000 0.500 Hf
0.500 0.000 0.000 Hf
0.000 0.000 0.000 Li

Entry 3:
LiHfSi2H (PBEsol, optimized geometry); energy = -0.338 Ry/atom; N(E_F) = 2.03 states/eV/f.u.; SG = No. 123
1.0
3.922 0.000 0.000
0.000 3.922 0.000
0.000 0.000 4.734
H Si Hf Li
1 2 1 1
direct
0.500 0.500 0.500 H
0.000 0.500 0.000 Si
0.500 0.000 0.000 Si
0.000 0.000 0.500 Hf
0.000 0.000 0.000 Li

no.,magnetization (μB per formula unit)
1,0.0
2,0.0
3,0.0